VASP calculation (PBE) on a relaxed structure of Pm3Ag3Hg.

Summary:
As for the calculated total energy: -50.274 eV per cell. As for the calculated formation energy: -0.29 eV/atom. Its total magnetic moment is 0.0 Bohr magnetons per cell.

abc: 3.5789 4.8389 20.6985
angles: 90.00 90.00 90.00
With the nearest neighbours (Å) after each atom.
Element x y z (fractional)
1 Pm 0.0000 0.0000 0.0000  7 Ag 3.12-3.37
2 Pm 0.0000 0.0000 0.3871  5 Ag 3.18-3.36, 2 Hg 3.20
3 Pm 0.0000 0.5000 0.1892  8 Ag 3.30-3.55, 4 Hg 3.34, 2 Pm 3.58
4 Pm 0.5000 0.0000 0.6892  8 Ag 3.30-3.55, 4 Hg 3.34, 2 Pm 3.58
5 Pm 0.5000 0.5000 0.5000  7 Ag 3.12-3.37
6 Pm 0.5000 0.5000 0.8871  5 Ag 3.18-3.36, 2 Hg 3.20
7 Ag 0.0000 0.0000 0.5492  2 Ag 2.87, 4 Pm 3.18
8 Ag 0.0000 0.0000 0.8373  2 Hg 2.91, 4 Pm 3.18
9 Ag 0.0000 0.5000 0.6236  1 Hg 2.80, 2 Ag 2.87, 2 Pm 3.12
10 Ag 0.5000 0.0000 0.1236  1 Hg 2.80, 2 Ag 2.87, 2 Pm 3.12
11 Ag 0.5000 0.5000 0.0492  2 Ag 2.87, 4 Pm 3.18
12 Ag 0.5000 0.5000 0.3373  2 Hg 2.91, 4 Pm 3.18
13 Hg 0.0000 0.5000 0.7591  3 Ag 2.80-2.91
14 Hg 0.5000 0.0000 0.2591  3 Ag 2.80-2.91

VASP calculation (PBE) on a relaxed structure of Pm2Ag2Hg.

Summary:
As for the calculated total energy: -33.822 eV per cell. As for the calculated formation energy: -0.28 eV/atom. Its total magnetic moment is 0.0 Bohr magnetons per cell.

abc: 6.0919 6.0919 10.4500
angles: 110.67 110.67 45.62
With the nearest neighbours (Å) after each atom.
Element x y z (fractional)
1 Pm 0.0261 0.0261 0.3444  7 Ag 3.23-3.60, 4 Hg 3.31-3.51, 2 Pm 3.52-3.62
2 Pm 0.1811 0.1811 0.0977  6 Ag 3.11-3.45, 2 Hg 3.25
3 Pm 0.8189 0.8189 0.9023  6 Ag 3.11-3.45, 2 Hg 3.25
4 Pm 0.9739 0.9739 0.6556  7 Ag 3.23-3.60, 4 Hg 3.31-3.51, 2 Pm 3.52-3.62
5 Ag 0.3675 0.3675 0.4249  1 Ag 2.78, 2 Hg 2.82
6 Ag 0.4645 0.4645 0.1166  1 Ag 2.84, 1 Hg 2.90, 1 Pm 3.11
7 Ag 0.5355 0.5355 0.8834  1 Ag 2.84, 1 Hg 2.90, 1 Pm 3.11
8 Ag 0.6325 0.6325 0.5751  1 Ag 2.78, 2 Hg 2.82
9 Hg 0.2748 0.2748 0.6745  3 Ag 2.82-2.90
10 Hg 0.7252 0.7252 0.3255  3 Ag 2.82-2.90

VASP calculation (PBE) on a relaxed structure of PmAg3Hg3.

Summary:
As for the calculated total energy: -22.215 eV per cell. The calculation puts the energy above the most stable polymorph in this dataset at 0.5278 eV/atom. As for the calculated formation energy: 0.44 eV/atom. Its total magnetic moment is 0.0 Bohr magnetons per cell.

abc: 7.5462 7.5462 7.5462
angles: 90.00 90.00 90.00
With the nearest neighbours (Å) after each atom.
Element x y z (fractional)
1 Pm 0.0000 0.0000 0.0000  12 Hg 4.22, 12 Ag 4.22
2 Pm 0.5000 0.5000 0.5000  12 Hg 4.22, 12 Ag 4.22
3 Ag 0.0000 0.2500 0.5000  4 Hg 2.67
4 Ag 0.0000 0.7500 0.5000  4 Hg 2.67
5 Ag 0.2500 0.5000 0.0000  4 Hg 2.67
6 Ag 0.5000 0.0000 0.2500  4 Hg 2.67
7 Ag 0.5000 0.0000 0.7500  4 Hg 2.67
8 Ag 0.7500 0.5000 0.0000  4 Hg 2.67
9 Hg 0.0000 0.5000 0.2500  4 Ag 2.67
10 Hg 0.0000 0.5000 0.7500  4 Ag 2.67
11 Hg 0.2500 0.0000 0.5000  4 Ag 2.67
12 Hg 0.5000 0.2500 0.0000  4 Ag 2.67
13 Hg 0.5000 0.7500 0.0000  4 Ag 2.67
14 Hg 0.7500 0.0000 0.5000  4 Ag 2.67

VASP calculation (PBE) on a relaxed structure of PmAgHg.

Summary:
As for the calculated total energy: -17.746 eV per cell. The calculation puts the energy above the most stable polymorph in this dataset at 0.0495 eV/atom. As for the calculated formation energy: -0.32 eV/atom. Its total magnetic moment is 0.0 Bohr magnetons per cell.

abc: 3.9152 3.9152 9.5877
angles: 90.00 90.00 90.00
With the nearest neighbours (Å) after each atom.
Element x y z (fractional)
1 Pm 0.0000 0.0000 0.0000  5 Hg 3.14-3.22, 5 Ag 3.16-3.21
2 Pm 0.5000 0.5000 0.5000  5 Hg 3.14-3.22, 5 Ag 3.16-3.21
3 Ag 0.0000 0.0000 0.6699  5 Hg 3.15-3.28, 5 Pm 3.16-3.21
4 Ag 0.5000 0.5000 0.1699  5 Hg 3.15-3.28, 5 Pm 3.16-3.21
5 Hg 0.0000 0.0000 0.3277  5 Pm 3.14-3.22, 5 Ag 3.15-3.28
6 Hg 0.5000 0.5000 0.8277  5 Pm 3.14-3.22, 5 Ag 3.15-3.28

VASP calculation (PBE) on a relaxed structure of Pm7Ag2Hg2.

Summary:
As for the calculated total energy: -39.757 eV per cell. As for the calculated formation energy: -0.02 eV/atom. Its total magnetic moment is 0.0 Bohr magnetons per cell.

abc: 6.8628 6.8628 7.8332
angles: 90.00 90.00 109.79
With the nearest neighbours (Å) after each atom.
Element x y z (fractional)
1 Pm 0.0000 0.0000 0.0000  2 Ag 3.25
2 Pm 0.0000 0.5000 0.2807  2 Ag 2.99, 2 Hg 3.34
3 Pm 0.0000 0.5000 0.7193  2 Ag 2.99, 2 Hg 3.34
4 Pm 0.5000 0.0000 0.2807  2 Ag 2.99, 2 Hg 3.34
5 Pm 0.5000 0.0000 0.7193  2 Ag 2.99, 2 Hg 3.34
6 Pm 0.5000 0.5000 0.2595  2 Ag 3.12, 2 Hg 3.15, 4 Pm 3.44
7 Pm 0.5000 0.5000 0.7405  2 Ag 3.12, 2 Hg 3.15, 4 Pm 3.44
8 Ag 0.2894 0.7106 0.0000  7 Pm 2.99-3.25
9 Ag 0.7106 0.2894 0.0000  7 Pm 2.99-3.25
10 Hg 0.1796 0.1796 0.5000  1 Hg 2.84, 2 Pm 3.15
11 Hg 0.8204 0.8204 0.5000  1 Hg 2.84, 2 Pm 3.15

VASP calculation (PBE) on a relaxed structure of PmAgHg4.

Summary:
As for the calculated total energy: -8.924 eV per cell. The calculation puts the energy above the most stable polymorph in this dataset at 0.1815 eV/atom. As for the calculated formation energy: -0.02 eV/atom. Its total magnetic moment is 0.0 Bohr magnetons per cell.

abc: 5.9259 5.9259 5.9259
angles: 60.00 60.00 60.00
With the nearest neighbours (Å) after each atom.
Element x y z (fractional)
1 Pm 0.0000 0.0000 0.0000  12 Hg 3.47, 4 Ag 3.63
2 Ag 0.2500 0.2500 0.2500  12 Hg 3.47, 4 Pm 3.63
3 Hg 0.1255 0.6248 0.6248  6 Hg 2.96-2.97
4 Hg 0.6248 0.1255 0.6248  6 Hg 2.96-2.97
5 Hg 0.6248 0.6248 0.1255  6 Hg 2.96-2.97
6 Hg 0.6248 0.6248 0.6248  6 Hg 2.96-2.97